The following is a PBE calculation of a relaxed structure of Nb2ZnGaSi, from Alexandria via LeMat-Bulk.

Lattice parameters (Å, degrees): 4.838 4.171 4.838 90.00 90.00 90.00
Sites, in units of the cell vectors:
Ga: 0.500 0.500 0.500
Nb: 0.500 0.000 0.000
Si: 0.000 0.500 0.000
Zn: 0.000 0.000 0.000
Nb: 0.000 0.000 0.500

## Properties
Symmetry: No. 123
Electronic total energy: -4.961 eV per atom
Theoretical density: 5.94 g cm⁻³
Formation energy without anion corrections: 1.01 eV/atom